A geometry-optimized Hf2Mn9Nb structure. Source: Alexandria via LeMat-Bulk, functional PBE.

Computed properties:
Formation enthalpy at 0 K in meV per atom: -91
Space-group type: R-3m
Final energy in eV per atom: -9.47
ρ in Mg/m³: 9.86

Cell lengths 4.802, 4.802, 8.429 Å; angles 73.45, 73.45, 60.00 degrees
Each line ends with the local moment (μB).
Element x y z (fractional)
Hf1 0.859 0.859 0.423  -0.07
Nb1 0.000 0.000 0.000  -0.04
Mn1 0.588 0.588 0.753  0.20
Mn2 0.662 0.662 0.013  -0.03
Mn3 0.500 0.500 0.500  1.18
Mn4 0.071 0.588 0.753  0.20
Mn5 0.929 0.412 0.247  0.20
Mn6 0.412 0.929 0.247  0.20
Mn7 0.412 0.412 0.247  0.20
Hf2 0.141 0.141 0.577  -0.07
Mn8 0.588 0.071 0.753  0.20
Mn9 0.338 0.338 0.987  -0.03